Entry 1:
Computed, not measured: Pr5TmHg3 after structural relaxation at the PBE level of DFT.

Output
DFT formation energy	-0.283	eV/atom

a b c (Å): 9.4338 9.4338 7.0210
angles (deg): 90.00 90.00 120.00
Last column: nearest neighbours and their distance in Å.
Fractional positions:
Pr 0.0000 0.3351 0.2500  3 Hg 3.12-3.20
Pr 0.0000 0.6649 0.7500  3 Hg 3.12-3.20
Pr 0.3333 0.6667 0.0000  8 Pr 3.51-3.59, 6 Hg 3.63
Pr 0.3333 0.6667 0.5000  8 Pr 3.51-3.59, 6 Hg 3.63
Pr 0.3351 0.0000 0.2500  3 Hg 3.12-3.20
Pr 0.3351 0.3351 0.7500  3 Hg 3.12-3.20
Pr 0.6649 0.0000 0.7500  3 Hg 3.12-3.20
Pr 0.6649 0.6649 0.2500  3 Hg 3.12-3.20
Pr 0.6667 0.3333 0.0000  8 Pr 3.51-3.59, 6 Hg 3.63
Pr 0.6667 0.3333 0.5000  8 Pr 3.51-3.59, 6 Hg 3.63
Tm 0.0000 0.0000 0.0000  2 Tm 3.51, 6 Hg 3.54, 6 Pr 3.62
Tm 0.0000 0.0000 0.5000  2 Tm 3.51, 6 Hg 3.54, 6 Pr 3.62
Hg 0.0000 0.3254 0.7500  3 Pr 3.12-3.20
Hg 0.0000 0.6746 0.2500  3 Pr 3.12-3.20
Hg 0.3254 0.0000 0.7500  3 Pr 3.12-3.20
Hg 0.3254 0.3254 0.2500  3 Pr 3.12-3.20
Hg 0.6746 0.0000 0.2500  3 Pr 3.12-3.20
Hg 0.6746 0.6746 0.7500  3 Pr 3.12-3.20



Entry 2:
Computed, not measured: Pr5Tm3Hg12 after structural relaxation at the PBE level of DFT.

Output
DFT formation energy	-0.046	eV/atom

a b c (Å): 15.2190 15.2190 15.2190
angles (deg): 109.47 109.47 109.47
Last column: nearest neighbours and their distance in Å.
Fractional positions:
Pr 0.0000 0.0000 0.0000  6 Hg 3.05
Pr 0.0000 0.0000 0.5000  6 Hg 3.05
Pr 0.0000 0.5000 0.0000  6 Hg 3.05
Pr 0.0000 0.5000 0.5000  6 Hg 3.05
Pr 0.1250 0.7500 0.8750  4 Hg 3.05
Pr 0.1250 0.8750 0.2500  4 Hg 3.05
Pr 0.2500 0.1250 0.8750  4 Hg 3.05
Pr 0.2500 0.6250 0.3750  4 Hg 3.05
Pr 0.3750 0.2500 0.6250  4 Hg 3.05
Pr 0.3750 0.6250 0.7500  4 Hg 3.05
Pr 0.5000 0.0000 0.0000  6 Hg 3.05
Pr 0.5000 0.0000 0.5000  6 Hg 3.05
Pr 0.5000 0.5000 0.0000  6 Hg 3.05
Pr 0.5000 0.5000 0.5000  6 Hg 3.05
Pr 0.6250 0.3750 0.2500  4 Hg 3.05
Pr 0.6250 0.7500 0.3750  4 Hg 3.05
Pr 0.7500 0.3750 0.6250  4 Hg 3.05
Pr 0.7500 0.8750 0.1250  4 Hg 3.05
Pr 0.8750 0.1250 0.7500  4 Hg 3.05
Pr 0.8750 0.2500 0.1250  4 Hg 3.05
Tm 0.1250 0.2500 0.3750  8 Hg 3.04-3.15
Tm 0.1250 0.3750 0.7500  8 Hg 3.04-3.15
Tm 0.2500 0.3750 0.1250  8 Hg 3.04-3.15
Tm 0.2500 0.8750 0.6250  8 Hg 3.04-3.15
Tm 0.3750 0.1250 0.2500  8 Hg 3.04-3.15
Tm 0.3750 0.7500 0.1250  8 Hg 3.04-3.15
Tm 0.6250 0.2500 0.8750  8 Hg 3.04-3.15
Tm 0.6250 0.8750 0.7500  8 Hg 3.04-3.15
Tm 0.7500 0.1250 0.3750  8 Hg 3.04-3.15
Tm 0.7500 0.6250 0.8750  8 Hg 3.04-3.15
Tm 0.8750 0.6250 0.2500  8 Hg 3.04-3.15
Tm 0.8750 0.7500 0.6250  8 Hg 3.04-3.15
Hg 0.0750 0.2333 0.1498  1 Hg 2.96, 2 Tm 3.04-3.15, 2 Pr 3.05
Hg 0.0750 0.3417 0.9252  1 Hg 2.96, 2 Tm 3.04-3.15, 2 Pr 3.05
Hg 0.0748 0.6498 0.4165  1 Hg 2.96, 2 Tm 3.04-3.15, 2 Pr 3.05
Hg 0.0748 0.9250 0.6583  1 Hg 2.96, 2 Tm 3.04-3.15, 2 Pr 3.05
Hg 0.0835 0.7333 0.6583  1 Hg 2.96, 2 Tm 3.04-3.15, 2 Pr 3.05
Hg 0.0835 0.8502 0.4252  1 Hg 2.96, 2 Tm 3.04-3.15, 2 Pr 3.05
Hg 0.1498 0.0750 0.2333  1 Hg 2.96, 2 Tm 3.04-3.15, 2 Pr 3.05
Hg 0.1498 0.5748 0.9165  1 Hg 2.96, 2 Tm 3.04-3.15, 2 Pr 3.05
Hg 0.1583 0.2333 0.5835  1 Hg 2.96, 2 Tm 3.04-3.15, 2 Pr 3.05
Hg 0.1583 0.4250 0.5748  1 Hg 2.96, 2 Tm 3.04-3.15, 2 Pr 3.05
Hg 0.2333 0.1498 0.0750  1 Hg 2.96, 2 Tm 3.04-3.15, 2 Pr 3.05
Hg 0.2333 0.5835 0.1583  1 Hg 2.96, 2 Tm 3.04-3.15, 2 Pr 3.05
Hg 0.2667 0.3417 0.9165  1 Hg 2.96, 2 Tm 3.04-3.15, 2 Pr 3.05
Hg 0.2667 0.4250 0.3502  1 Hg 2.96, 2 Tm 3.04-3.15, 2 Pr 3.05
Hg 0.3417 0.9165 0.2667  1 Hg 2.96, 2 Tm 3.04-3.15, 2 Pr 3.05
Hg 0.3417 0.9252 0.0750  1 Hg 2.96, 2 Tm 3.04-3.15, 2 Pr 3.05
Hg 0.3502 0.2667 0.4250  1 Hg 2.96, 2 Tm 3.04-3.15, 2 Pr 3.05
Hg 0.3502 0.5835 0.9252  1 Hg 2.96, 2 Tm 3.04-3.15, 2 Pr 3.05
Hg 0.4165 0.0748 0.6498  1 Hg 2.96, 2 Tm 3.04-3.15, 2 Pr 3.05
Hg 0.4165 0.8417 0.7667  1 Hg 2.96, 2 Tm 3.04-3.15, 2 Pr 3.05
Hg 0.4252 0.0835 0.8502  1 Hg 2.96, 2 Tm 3.04-3.15, 2 Pr 3.05
Hg 0.4250 0.3502 0.2667  1 Hg 2.96, 2 Tm 3.04-3.15, 2 Pr 3.05
Hg 0.4250 0.5748 0.1583  1 Hg 2.96, 2 Tm 3.04-3.15, 2 Pr 3.05
Hg 0.4252 0.8417 0.5750  1 Hg 2.96, 2 Tm 3.04-3.15, 2 Pr 3.05
Hg 0.5748 0.1583 0.4250  1 Hg 2.96, 2 Tm 3.04-3.15, 2 Pr 3.05
Hg 0.5750 0.4252 0.8417  1 Hg 2.96, 2 Tm 3.04-3.15, 2 Pr 3.05
Hg 0.5750 0.6498 0.7333  1 Hg 2.96, 2 Tm 3.04-3.15, 2 Pr 3.05
Hg 0.5748 0.9165 0.1498  1 Hg 2.96, 2 Tm 3.04-3.15, 2 Pr 3.05
Hg 0.5835 0.1583 0.2333  1 Hg 2.96, 2 Tm 3.04-3.15, 2 Pr 3.05
Hg 0.5835 0.9252 0.3502  1 Hg 2.96, 2 Tm 3.04-3.15, 2 Pr 3.05
Hg 0.6498 0.4165 0.0748  1 Hg 2.96, 2 Tm 3.04-3.15, 2 Pr 3.05
Hg 0.6498 0.7333 0.5750  1 Hg 2.96, 2 Tm 3.04-3.15, 2 Pr 3.05
Hg 0.6583 0.0748 0.9250  1 Hg 2.96, 2 Tm 3.04-3.15, 2 Pr 3.05
Hg 0.6583 0.0835 0.7333  1 Hg 2.96, 2 Tm 3.04-3.15, 2 Pr 3.05
Hg 0.7333 0.5750 0.6498  1 Hg 2.96, 2 Tm 3.04-3.15, 2 Pr 3.05
Hg 0.7333 0.6583 0.0835  1 Hg 2.96, 2 Tm 3.04-3.15, 2 Pr 3.05
Hg 0.7667 0.4165 0.8417  1 Hg 2.96, 2 Tm 3.04-3.15, 2 Pr 3.05
Hg 0.7667 0.8502 0.9250  1 Hg 2.96, 2 Tm 3.04-3.15, 2 Pr 3.05
Hg 0.8417 0.5750 0.4252  1 Hg 2.96, 2 Tm 3.04-3.15, 2 Pr 3.05
Hg 0.8417 0.7667 0.4165  1 Hg 2.96, 2 Tm 3.04-3.15, 2 Pr 3.05
Hg 0.8502 0.4252 0.0835  1 Hg 2.96, 2 Tm 3.04-3.15, 2 Pr 3.05
Hg 0.8502 0.9250 0.7667  1 Hg 2.96, 2 Tm 3.04-3.15, 2 Pr 3.05
Hg 0.9165 0.1498 0.5748  1 Hg 2.96, 2 Tm 3.04-3.15, 2 Pr 3.05
Hg 0.9165 0.2667 0.3417  1 Hg 2.96, 2 Tm 3.04-3.15, 2 Pr 3.05
Hg 0.9252 0.0750 0.3417  1 Hg 2.96, 2 Tm 3.04-3.15, 2 Pr 3.05
Hg 0.9252 0.3502 0.5835  1 Hg 2.96, 2 Tm 3.04-3.15, 2 Pr 3.05
Hg 0.9250 0.6583 0.0748  1 Hg 2.96, 2 Tm 3.04-3.15, 2 Pr 3.05
Hg 0.9250 0.7667 0.8502  1 Hg 2.96, 2 Tm 3.04-3.15, 2 Pr 3.05



Entry 3:
Computed, not measured: Pr3TmHg4 after structural relaxation at the PBE level of DFT.

Output
DFT formation energy	-0.327	eV/atom
energy above the lowest structure with this stoichiometry	142.3	meV per atom

a b c (Å): 3.9219 7.7382 16.1539
angles (deg): 90.00 90.00 90.00
Last column: nearest neighbours and their distance in Å.
Fractional positions:
Pr 0.0000 0.0000 0.0000  8 Hg 3.26
Pr 0.0000 0.5000 0.2004  6 Hg 3.20-3.22
Pr 0.0000 0.5000 0.7996  6 Hg 3.20-3.22
Pr 0.5000 0.0000 0.2996  6 Hg 3.20-3.22
Pr 0.5000 0.0000 0.7004  6 Hg 3.20-3.22
Pr 0.5000 0.5000 0.5000  8 Hg 3.26
Tm 0.0000 0.0000 0.5000  4 Hg 3.07
Tm 0.5000 0.5000 0.0000  4 Hg 3.07
Hg 0.0000 0.2937 0.3722  1 Tm 3.07, 1 Hg 3.19, 5 Pr 3.20-3.26
Hg 0.0000 0.2937 0.6278  1 Tm 3.07, 1 Hg 3.19, 5 Pr 3.20-3.26
Hg 0.0000 0.7063 0.3722  1 Tm 3.07, 1 Hg 3.19, 5 Pr 3.20-3.26
Hg 0.0000 0.7063 0.6278  1 Tm 3.07, 1 Hg 3.19, 5 Pr 3.20-3.26
Hg 0.5000 0.2063 0.1278  1 Tm 3.07, 1 Hg 3.19, 5 Pr 3.20-3.26
Hg 0.5000 0.2063 0.8722  1 Tm 3.07, 1 Hg 3.19, 5 Pr 3.20-3.26
Hg 0.5000 0.7937 0.1278  1 Tm 3.07, 1 Hg 3.19, 5 Pr 3.20-3.26
Hg 0.5000 0.7937 0.8722  1 Tm 3.07, 1 Hg 3.19, 5 Pr 3.20-3.26



Entry 4:
Computed, not measured: PrTmHg4 after structural relaxation at the PBE level of DFT.

Output
DFT formation energy	-0.213	eV/atom
energy above the lowest structure with this stoichiometry	130.7	meV per atom

a b c (Å): 5.9930 5.9930 5.9930
angles (deg): 60.00 60.00 60.00
Last column: nearest neighbours and their distance in Å.
Fractional positions:
Pr 0.0000 0.0000 0.0000  12 Hg 3.51, 4 Tm 3.67
Tm 0.7500 0.7500 0.7500  12 Hg 3.51, 4 Pr 3.67
Hg 0.3751 0.3751 0.3751  6 Hg 3.00
Hg 0.3751 0.3751 0.8748  6 Hg 3.00
Hg 0.3751 0.8748 0.3751  6 Hg 3.00
Hg 0.8748 0.3751 0.3751  6 Hg 3.00



Entry 5:
Computed, not measured: Pr4TmHg2 after structural relaxation at the PBE level of DFT.

Output
DFT formation energy	-0.201	eV/atom

a b c (Å): 6.7696 8.7085 8.7583
angles (deg): 114.80 99.57 103.82
Last column: nearest neighbours and their distance in Å.
Fractional positions:
Pr 0.0000 0.0000 0.0000  3 Hg 3.22-3.52, 2 Pr 3.44
Pr 0.0026 0.1780 0.4913  3 Hg 3.15-3.40, 1 Pr 3.47, 2 Tm 3.50
Pr 0.1449 0.8174 0.5505  3 Hg 3.15-3.44, 1 Pr 3.45
Pr 0.1553 0.6083 0.0949  3 Hg 3.14-3.22, 2 Tm 3.45-3.48, 1 Pr 3.51
Pr 0.4655 0.9199 0.9553  2 Tm 3.32-3.45, 6 Pr 3.33-3.62, 2 Hg 3.40-3.71
Pr 0.5181 0.5287 0.7059  4 Hg 3.17-3.48, 1 Pr 3.33
Pr 0.7031 0.3826 0.2583  5 Hg 3.37-3.65, 2 Tm 3.40-3.46, 3 Pr 3.52-3.72
Pr 0.7244 0.2121 0.7965  2 Hg 3.15-3.21, 2 Pr 3.47-3.51, 1 Tm 3.48
Tm 0.4352 0.0676 0.3642  9 Pr 3.32-3.70, 2 Hg 3.55-3.68
Tm 0.7017 0.7311 0.1755  1 Hg 3.03
Hg 0.2308 0.4070 0.3186  7 Pr 3.19-3.54, 1 Hg 3.34
Hg 0.3018 0.2717 0.8921  7 Pr 3.21-3.57, 1 Hg 3.57
Hg 0.6289 0.8044 0.5277  1 Tm 3.03, 3 Pr 3.15-3.38, 1 Hg 3.34
Hg 0.9987 0.5687 0.7175  5 Pr 3.14-3.40



Entry 6:
Computed, not measured: PrTm5Hg3 after structural relaxation at the PBE level of DFT.

Output
DFT formation energy	-0.289	eV/atom

a b c (Å): 9.0320 9.0320 6.8865
angles (deg): 90.00 90.00 120.00
Last column: nearest neighbours and their distance in Å.
Fractional positions:
Pr 0.0000 0.0000 0.0000  2 Pr 3.44, 6 Tm 3.46, 6 Hg 3.52
Pr 0.0000 0.0000 0.5000  2 Pr 3.44, 6 Tm 3.46, 6 Hg 3.52
Tm 0.0000 0.3326 0.2500  3 Hg 2.95-3.04
Tm 0.0000 0.6674 0.7500  3 Hg 2.95-3.04
Tm 0.3326 0.0000 0.2500  3 Hg 2.95-3.04
Tm 0.3326 0.3326 0.7500  3 Hg 2.95-3.04
Tm 0.3333 0.6667 0.0000  6 Hg 3.44, 8 Tm 3.44-3.47
Tm 0.3333 0.6667 0.5000  6 Hg 3.44, 8 Tm 3.44-3.47
Tm 0.6674 0.0000 0.7500  3 Hg 2.95-3.04
Tm 0.6667 0.3333 0.0000  6 Hg 3.44, 8 Tm 3.44-3.47
Tm 0.6667 0.3333 0.5000  6 Hg 3.44, 8 Tm 3.44-3.47
Tm 0.6674 0.6674 0.2500  3 Hg 2.95-3.04
Hg 0.0000 0.3404 0.7500  3 Tm 2.95-3.04
Hg 0.0000 0.6596 0.2500  3 Tm 2.95-3.04
Hg 0.3404 0.0000 0.7500  3 Tm 2.95-3.04
Hg 0.3404 0.3404 0.2500  3 Tm 2.95-3.04
Hg 0.6596 0.0000 0.2500  3 Tm 2.95-3.04
Hg 0.6596 0.6596 0.7500  3 Tm 2.95-3.04



Calculated calculated density, 9.1, 8.9, 9.4, 12.1, 8.7, 10.8 g/cm3 (same order as the records).